Entry 1:
# MgGa2AgC PBEsol optimized geometry
data_MgGa2AgC
_cell_length_a 3.9425
_cell_length_b 5.0510
_cell_length_c 5.0510
_cell_angle_alpha 90.00
_cell_angle_beta 90.00
_cell_angle_gamma 90.00
_symmetry_space_group_name_H-M 'P 1'
_symmetry_Int_Tables_number 1
loop_
_symmetry_equiv_pos_as_xyz
'x,y,z'
loop_
_atom_site_label
_atom_site_fract_x
_atom_site_fract_y
_atom_site_fract_z
_atom_site_occupancy
Ag1 0.5000 0.5000 0.5000 1
C1 0.5000 0.0000 0.0000 1
Ga1 0.0000 0.0000 0.5000 1
Ga2 0.0000 0.5000 0.0000 1
Mg1 0.0000 0.0000 0.0000 1
# Spin magnetization   0.00 μB/cell
# Formation energy from the elements   1.3281 eV per atom
# Density   4682 kg/m³



Entry 2:
# GaAg2OsC PBEsol optimized geometry
data_GaAg2OsC
_cell_length_a 3.7835
_cell_length_b 5.1065
_cell_length_c 5.1065
_cell_angle_alpha 90.00
_cell_angle_beta 90.00
_cell_angle_gamma 90.00
_symmetry_space_group_name_H-M 'P 1'
_symmetry_Int_Tables_number 1
loop_
_symmetry_equiv_pos_as_xyz
'x,y,z'
loop_
_atom_site_label
_atom_site_fract_x
_atom_site_fract_y
_atom_site_fract_z
_atom_site_occupancy
Ag1 0.0000 0.0000 0.5000 1
Ag2 0.0000 0.5000 0.0000 1
Ga1 0.5000 0.5000 0.5000 1
Os1 0.0000 0.0000 0.0000 1
C1 0.5000 0.0000 0.0000 1
# Spin magnetization   0.00 μB/cell
# Formation energy from the elements   1.2140 eV per atom
# Density   8208 kg/m³



Entry 3:
# AgH12C4Se5N PBEsol optimized geometry
data_AgH12C4Se5N
_cell_length_a 7.2359
_cell_length_b 9.3169
_cell_length_c 10.9499
_cell_angle_alpha 113.65
_cell_angle_beta 107.40
_cell_angle_gamma 94.23
_symmetry_space_group_name_H-M 'P 1'
_symmetry_Int_Tables_number 1
loop_
_symmetry_equiv_pos_as_xyz
'x,y,z'
loop_
_atom_site_label
_atom_site_fract_x
_atom_site_fract_y
_atom_site_fract_z
_atom_site_occupancy
H1 0.9607 0.9060 0.5368 1
H2 0.0424 0.9736 0.3560 1
H3 0.5699 0.1024 0.3016 1
H4 0.7942 0.9050 0.1294 1
H5 0.7833 0.6735 0.5274 1
H6 0.1728 0.1443 0.3519 1
H7 0.1648 0.7756 0.8706 1
H8 0.9522 0.0319 0.7109 1
H9 0.0705 0.9575 0.9010 1
H10 0.1863 0.6175 0.6440 1
H11 0.7559 0.1461 0.4726 1
H12 0.0956 0.6727 0.4983 1
H13 0.0027 0.3419 0.3149 1
H14 0.6942 0.9475 0.3246 1
H15 0.6695 0.0565 0.0990 1
H16 0.7413 0.3210 0.2891 1
H17 0.3072 0.9503 0.8784 1
H18 0.9288 0.0719 0.1216 1
H19 0.1879 0.0271 0.6851 1
H20 0.7682 0.8007 0.6984 1
H21 0.9239 0.3692 0.4632 1
H22 0.3209 0.7924 0.6481 1
H23 0.8697 0.6229 0.6754 1
H24 0.0973 0.1744 0.5017 1
Se1 0.7973 0.6491 0.2326 1
Se2 0.0647 0.4165 0.7674 1
Se3 0.3785 0.6988 0.3233 1
Se4 0.5551 0.3755 0.6767 1
Se5 0.4154 0.4969 0.8539 1
Se6 0.7036 0.1398 0.8794 1
Se7 0.5335 0.1092 0.6474 1
Se8 0.3860 0.4618 0.3526 1
Se9 0.0616 0.6430 0.1461 1
Se10 0.3243 0.2604 0.1206 1
C1 0.1572 0.8799 0.8468 1
C2 0.8104 0.0331 0.1532 1
C3 0.0590 0.1031 0.3857 1
C4 0.7097 0.0774 0.3557 1
C5 0.8540 0.7217 0.6443 1
C6 0.0379 0.9565 0.6534 1
C7 0.8845 0.3031 0.3466 1
C8 0.1733 0.7174 0.6143 1
N1 0.0560 0.8193 0.6900 1
N2 0.8660 0.1293 0.3100 1
Ag1 0.0374 0.3397 0.9666 1
Ag2 0.5708 0.3731 0.0334 1
# Spin magnetization   0.00 μB/cell
# Final energy   -111.8 eV/f.u.
# Density   3044 kg/m³



Entry 4:
# Hf3AgC PBEsol optimized geometry
data_Hf3AgC
_cell_length_a 4.4298
_cell_length_b 4.4298
_cell_length_c 4.4298
_cell_angle_alpha 90.00
_cell_angle_beta 90.00
_cell_angle_gamma 90.00
_symmetry_space_group_name_H-M 'P 1'
_symmetry_Int_Tables_number 1
loop_
_symmetry_equiv_pos_as_xyz
'x,y,z'
loop_
_atom_site_label
_atom_site_fract_x
_atom_site_fract_y
_atom_site_fract_z
_atom_site_occupancy
Ag1 0.5000 0.5000 0.5000 1
Hf1 0.0000 0.0000 0.5000 1
Hf2 0.5000 0.0000 0.0000 1
Hf3 0.0000 0.5000 0.0000 1
C1 0.0000 0.0000 0.0000 1
# Spin magnetization   0.00 μB/cell
# Formation energy from the elements   -0.3965 eV per atom
# Density   12519 kg/m³



Entry 5:
# YAgHgC2 PBEsol optimized geometry
data_YAgHgC2
_cell_length_a 4.3532
_cell_length_b 4.3532
_cell_length_c 4.9084
_cell_angle_alpha 90.00
_cell_angle_beta 90.00
_cell_angle_gamma 90.00
_symmetry_space_group_name_H-M 'P 1'
_symmetry_Int_Tables_number 1
loop_
_symmetry_equiv_pos_as_xyz
'x,y,z'
loop_
_atom_site_label
_atom_site_fract_x
_atom_site_fract_y
_atom_site_fract_z
_atom_site_occupancy
C1 0.5000 0.0000 0.0000 1
C2 0.0000 0.5000 0.0000 1
Y1 0.5000 0.5000 0.5000 1
Ag1 0.0000 0.0000 0.5000 1
Hg1 0.0000 0.0000 0.0000 1
# Spin magnetization   0.00 μB/cell
# Formation energy from the elements   1.9091 eV per atom
# Density   7523 kg/m³



Entry 6:
# AgCIO2 PBEsol optimized geometry
data_AgCIO2
_cell_length_a 3.8789
_cell_length_b 3.8789
_cell_length_c 5.6127
_cell_angle_alpha 90.00
_cell_angle_beta 90.00
_cell_angle_gamma 90.00
_symmetry_space_group_name_H-M 'P 1'
_symmetry_Int_Tables_number 1
loop_
_symmetry_equiv_pos_as_xyz
'x,y,z'
loop_
_atom_site_label
_atom_site_fract_x
_atom_site_fract_y
_atom_site_fract_z
_atom_site_occupancy
C1 0.5000 0.5000 0.5000 1
O1 0.5000 0.0000 0.0000 1
O2 0.0000 0.5000 0.0000 1
I1 0.0000 0.0000 0.0000 1
Ag1 0.0000 0.0000 0.5000 1
# Spin magnetization   1.73 μB/cell
# Energy relative to the elements, uncorrected   34.00 kcal/mol of atoms
# Density   5482 kg/m³



Entry 7:
# Ag2CSI PBEsol optimized geometry
data_Ag2CSI
_cell_length_a 4.5868
_cell_length_b 4.5868
_cell_length_c 5.9437
_cell_angle_alpha 90.00
_cell_angle_beta 90.00
_cell_angle_gamma 90.00
_symmetry_space_group_name_H-M 'P 1'
_symmetry_Int_Tables_number 1
loop_
_symmetry_equiv_pos_as_xyz
'x,y,z'
loop_
_atom_site_label
_atom_site_fract_x
_atom_site_fract_y
_atom_site_fract_z
_atom_site_occupancy
Ag1 0.5000 0.0000 0.0000 1
Ag2 0.0000 0.5000 0.0000 1
I1 0.0000 0.0000 0.5000 1
S1 0.0000 0.0000 0.0000 1
C1 0.5000 0.5000 0.5000 1
# Spin magnetization   1.91 μB/cell
# Energy relative to the elements, uncorrected   36.66 kcal/mol of atoms
# Density   5135 kg/m³



Entry 8:
# KAgC2 PBEsol optimized geometry
data_KAgC2
_cell_length_a 4.2254
_cell_length_b 4.2254
_cell_length_c 5.2593
_cell_angle_alpha 90.00
_cell_angle_beta 90.00
_cell_angle_gamma 90.00
_symmetry_space_group_name_H-M 'P 1'
_symmetry_Int_Tables_number 1
loop_
_symmetry_equiv_pos_as_xyz
'x,y,z'
loop_
_atom_site_label
_atom_site_fract_x
_atom_site_fract_y
_atom_site_fract_z
_atom_site_occupancy
K1 0.5000 0.5000 0.5000 1
Ag1 0.0000 0.0000 0.0000 1
C1 0.0000 0.0000 0.3813 1
C2 0.0000 0.0000 0.6187 1
# Spin magnetization   0.00 μB/cell
# Formation energy from the elements   0.4379 eV per atom
# Density   3024 kg/m³



Entry 9:
# KAgC2 PBEsol optimized geometry
data_KAgC2
_cell_length_a 4.1545
_cell_length_b 4.1545
_cell_length_c 7.9981
_cell_angle_alpha 105.05
_cell_angle_beta 105.05
_cell_angle_gamma 90.00
_symmetry_space_group_name_H-M 'P 1'
_symmetry_Int_Tables_number 1
loop_
_symmetry_equiv_pos_as_xyz
'x,y,z'
loop_
_atom_site_label
_atom_site_fract_x
_atom_site_fract_y
_atom_site_fract_z
_atom_site_occupancy
C1 0.1250 0.8750 0.2500 1
C2 0.1250 0.3750 0.2500 1
C3 0.1250 0.8750 0.7500 1
C4 0.6250 0.8750 0.7500 1
Ag1 0.0000 0.0000 0.0000 1
Ag2 0.2500 0.7500 0.5000 1
K1 0.7500 0.2500 0.5000 1
K2 0.5000 0.5000 0.0000 1
# Spin magnetization   0.00 μB/cell
# Formation energy from the elements   1.8956 eV per atom
# Density   4423 kg/m³



Entry 10:
# KAgCO3 PBEsol optimized geometry
data_KAgCO3
_cell_length_a 5.6251
_cell_length_b 5.8495
_cell_length_c 11.0539
_cell_angle_alpha 105.34
_cell_angle_beta 104.74
_cell_angle_gamma 90.00
_symmetry_space_group_name_H-M 'P 1'
_symmetry_Int_Tables_number 1
loop_
_symmetry_equiv_pos_as_xyz
'x,y,z'
loop_
_atom_site_label
_atom_site_fract_x
_atom_site_fract_y
_atom_site_fract_z
_atom_site_occupancy
O1 0.6891 0.9391 0.3783 1
O2 0.7535 0.7862 0.8066 1
O3 0.0531 0.5204 0.8066 1
O4 0.7465 0.9796 0.1934 1
O5 0.3109 0.0609 0.6217 1
O6 0.2465 0.2138 0.1934 1
O7 0.1891 0.4391 0.3783 1
O8 0.8109 0.5609 0.6217 1
O9 0.2535 0.0204 0.8066 1
O10 0.5531 0.2862 0.8066 1
O11 0.4469 0.7138 0.1934 1
O12 0.9469 0.4796 0.1934 1
Ag1 0.7500 0.8657 0.0000 1
Ag2 0.2500 0.6343 0.0000 1
Ag3 0.2500 0.1343 0.0000 1
Ag4 0.7500 0.3657 0.0000 1
K1 0.3189 0.5689 0.6377 1
K2 0.1811 0.9311 0.3623 1
K3 0.6811 0.4311 0.3623 1
K4 0.8189 0.0689 0.6377 1
C1 0.6267 0.8767 0.2534 1
C2 0.3733 0.1233 0.7466 1
C3 0.1267 0.3767 0.2534 1
C4 0.8733 0.6233 0.7466 1
# Spin magnetization   0.00 μB/cell
# Energy relative to the elements, uncorrected   -30.11 kcal/mol of atoms
# Density   4063 kg/m³



Entry 11:
# K2SiAgC PBEsol optimized geometry
data_K2SiAgC
_cell_length_a 3.8324
_cell_length_b 6.2653
_cell_length_c 6.2653
_cell_angle_alpha 90.00
_cell_angle_beta 90.00
_cell_angle_gamma 90.00
_symmetry_space_group_name_H-M 'P 1'
_symmetry_Int_Tables_number 1
loop_
_symmetry_equiv_pos_as_xyz
'x,y,z'
loop_
_atom_site_label
_atom_site_fract_x
_atom_site_fract_y
_atom_site_fract_z
_atom_site_occupancy
K1 0.0000 0.5000 0.0000 1
K2 0.0000 0.0000 0.5000 1
Ag1 0.0000 0.0000 0.0000 1
C1 0.5000 0.0000 0.0000 1
Si1 0.5000 0.5000 0.5000 1
# Spin magnetization   1.79 μB/cell
# Energy relative to the elements, uncorrected   27.19 kcal/mol of atoms
# Density   2496 kg/m³



Entry 12:
# La2AgRuC PBEsol optimized geometry
data_La2AgRuC
_cell_length_a 3.7762
_cell_length_b 5.5946
_cell_length_c 5.5946
_cell_angle_alpha 90.00
_cell_angle_beta 90.00
_cell_angle_gamma 90.00
_symmetry_space_group_name_H-M 'P 1'
_symmetry_Int_Tables_number 1
loop_
_symmetry_equiv_pos_as_xyz
'x,y,z'
loop_
_atom_site_label
_atom_site_fract_x
_atom_site_fract_y
_atom_site_fract_z
_atom_site_occupancy
La1 0.0000 0.0000 0.5000 1
La2 0.0000 0.5000 0.0000 1
C1 0.5000 0.0000 0.0000 1
Ru1 0.5000 0.5000 0.5000 1
Ag1 0.0000 0.0000 0.0000 1
# Spin magnetization   0.00 μB/cell
# Formation energy from the elements   1.0472 eV per atom
# Density   7007 kg/m³